The following is a GGA+U calculation of an optimized crystal structure of ZnMo3F, from Alexandria via LeMat-Bulk.

a b c (Å): 4.2358 4.2358 4.2358
angles (deg): 90.00 90.00 90.00
Sites, in units of the cell vectors:
Mo1 0.0000 0.5000 0.0000
Mo2 0.0000 0.0000 0.5000
Mo3 0.5000 0.0000 0.0000
Zn1 0.5000 0.5000 0.5000
F1 0.0000 0.0000 0.0000

Properties
- calculated total energy (eV/atom) = -3.700
- total magnetic moment (μB/f.u.) = 0.00
- calculated density (g/cm³) = 8.13
- symmetry = No. 221